1.
HfTiS4: optimized geometry, PBE.

Mass density in g/cm3: 4.2
Uncorrected formation energy in eV/f.u.: -8.48
Magnetic moment in μB per formula unit: 0.000
N(E_F) in states/eV/cell: 0.1

```
data_HfTiS4
_cell_length_a 3.5396
_cell_length_b 6.4636
_cell_length_c 6.1263
_cell_angle_alpha 90.81
_cell_angle_beta 90.00
_cell_angle_gamma 90.00
_symmetry_space_group_name_H-M 'P 1'
_symmetry_Int_Tables_number 1
_symmetry_space_group_name_Hall 'P 1'
loop_
_atom_site_label
_atom_site_type_symbol
_atom_site_fract_x
_atom_site_fract_y
_atom_site_fract_z
_atom_site_occupancy
Hf1 Hf 0.0000 0.0000 0.0000 1
Ti1 Ti 0.5000 0.0000 0.5000 1
S1 S 0.0000 0.7817 0.6531 1
S2 S 0.5000 0.2243 0.8261 1
S3 S 0.5000 0.7757 0.1739 1
S4 S 0.0000 0.2183 0.3469 1
```

2.
Ca2TaTl: optimized geometry, PBE.

Mass density in g/cm3: 7.5
VASP energy in Ry per atom: -0.301
Magnetic moment in μB per formula unit: 0.000
N(E_F) in states/eV/cell: 3.7

```
data_Ca2TaTl
_cell_length_a 6.0637
_cell_length_b 6.0637
_cell_length_c 3.1785
_cell_angle_alpha 89.91
_cell_angle_beta 89.91
_cell_angle_gamma 117.50
_symmetry_space_group_name_H-M 'P 1'
_symmetry_Int_Tables_number 1
_symmetry_space_group_name_Hall 'P 1'
loop_
_atom_site_label
_atom_site_type_symbol
_atom_site_fract_x
_atom_site_fract_y
_atom_site_fract_z
_atom_site_occupancy
Tl1 Tl 0.0000 0.5000 0.5000 1
Ca1 Ca 0.0000 0.0000 0.0000 1
Ca2 Ca 0.5000 0.5000 0.0000 1
Ta1 Ta 0.5000 0.0000 0.5000 1
```

3.
MnIrS2Cl: optimized geometry, PBE.

Mass density in g/cm3: 5.5
Uncorrected formation energy in eV/f.u.: 2.13
Magnetic moment in μB per formula unit: 4.508
N(E_F) in states/eV/cell: 3.6

```
data_MnIrS2Cl
_cell_length_a 4.6829
_cell_length_b 4.6829
_cell_length_c 4.7666
_cell_angle_alpha 90.00
_cell_angle_beta 90.00
_cell_angle_gamma 90.00
_symmetry_space_group_name_H-M 'P 1'
_symmetry_Int_Tables_number 1
_symmetry_space_group_name_Hall 'P 1'
loop_
_atom_site_label
_atom_site_type_symbol
_atom_site_fract_x
_atom_site_fract_y
_atom_site_fract_z
_atom_site_occupancy
S1 S 0.0000 0.5000 0.0000 1
S2 S 0.5000 0.0000 0.0000 1
Ir1 Ir 0.0000 0.0000 0.0000 1
Mn1 Mn 0.5000 0.5000 0.5000 1
Cl1 Cl 0.0000 0.0000 0.5000 1
```